(a)
Density functional theory data (PBE-GGA) for crystalline LaAgAu2 at its relaxed geometry.

Values from the calculation:
* spin magnetization: 0.00 μB per atom
* calculated volume: 93.21 Å³/f.u.

Lattice parameters (Å, degrees): 4.8228 4.8228 13.8816 90.00 90.00 120.00
Space group R3m (No. 160, hexagonal axes)
Symmetry-distinct sites (fractional):
La: 0.0000 0.0000 0.0000 x3
Ag: 0.0000 0.0000 0.7759 x3
Au: 0.0000 0.0000 0.2262 x3
Au: 0.0000 0.0000 0.4787 x3



(b)
Density functional theory data (PBE-GGA) for crystalline LaAgAu2 at its relaxed geometry.

Values from the calculation:
* spin magnetization: 0.00 μB per atom
* calculated volume: 92.04 Å³/f.u.

Lattice parameters (Å, degrees): 6.785 6.772 4.006 90.00 90.28 90.00
Space group C2/m (No. 12)
Symmetry-distinct sites (fractional):
La: 0.000 0.000 0.000 x2
Ag: 0.000 0.500 0.000 x2
Au: 0.250 0.250 0.500 x4



(c)
Density functional theory data (PBE-GGA) for crystalline LaAgAu2 at its relaxed geometry.

Values from the calculation:
* spin magnetization: 0.00 μB per atom
* calculated volume: 91.04 Å³/f.u.

Lattice parameters (Å, degrees): 3.721 3.721 6.575 90.00 90.00 90.00
Space group P4mm (No. 99)
Symmetry-distinct sites (fractional):
La: 0.000 0.000 0.000 x1
Ag: 0.500 0.500 0.309 x1
Au: 0.000 0.000 0.505 x1
Au: 0.500 0.500 0.741 x1



Consider the structures shown above. The most stable of them is (a).